No. 1
This record from Alexandria describes a relaxed structure of TaNb2F. The functional is PBE-GGA.

a b c (Å): 6.849 6.849 5.681
angles (deg): 90.00 90.00 90.00
Element x y z (fractional)
Ta (0.000, 0.000, 0.000)
Ta (0.000, 0.500, 0.250)
Ta (0.500, 0.000, 0.750)
Ta (0.500, 0.500, 0.500)
Nb (0.186, 0.250, 0.625)
Nb (0.250, 0.686, 0.875)
Nb (0.250, 0.814, 0.375)
Nb (0.314, 0.250, 0.125)
Nb (0.686, 0.750, 0.125)
Nb (0.750, 0.186, 0.375)
Nb (0.750, 0.314, 0.875)
Nb (0.814, 0.750, 0.625)
F (0.000, 0.000, 0.500)
F (0.000, 0.500, 0.750)
F (0.500, 0.000, 0.250)
F (0.500, 0.500, 0.000)

Summary:
The volume comes out at 16.65 Å³/atom. For the density of states at the Fermi level, the calculation gives 1.47 states/eV/atom. The value obtained for the uncorrected formation energy is -0.029 eV/atom. The size of the total moment comes out at 0.00 μB/f.u. For the polymorph energy (0 for the lowest one), the calculation gives 0 meV per atom.

---

No. 2
This record from Alexandria describes a relaxed structure of La2TbTh2. The functional is PBE-GGA.

a b c (Å): 3.619 3.619 44.688
angles (deg): 90.00 90.00 120.00
Element x y z (fractional)
La (0.000, 0.000, 0.204)
La (0.000, 0.000, 0.796)
La (0.333, 0.667, 0.462)
La (0.333, 0.667, 0.871)
La (0.667, 0.333, 0.129)
La (0.667, 0.333, 0.538)
Tb (0.000, 0.000, 0.000)
Tb (0.333, 0.667, 0.667)
Tb (0.667, 0.333, 0.333)
Th (0.000, 0.000, 0.398)
Th (0.000, 0.000, 0.602)
Th (0.333, 0.667, 0.065)
Th (0.333, 0.667, 0.269)
Th (0.667, 0.333, 0.731)
Th (0.667, 0.333, 0.935)

Summary:
The volume comes out at 33.79 Å³/atom. For the density of states at the Fermi level, the calculation gives 1.65 states/eV/atom. The formation energy comes out at 0.0293 eV per atom. The size of the total moment comes out at 0.00 μB/f.u.

---

No. 3
This record from Alexandria describes a relaxed structure of GaCo2NiC. The functional is PBE-GGA.

a b c (Å): 3.725 3.725 3.806
angles (deg): 90.00 90.00 90.00
Element x y z (fractional)
Ga (0.000, 0.000, 0.000)
Co (0.000, 0.500, 0.500)
Co (0.500, 0.000, 0.500)
Ni (0.500, 0.500, 0.000)
C (0.500, 0.500, 0.500)

Summary:
The volume comes out at 10.56 Å³/atom. For the density of states at the Fermi level, the calculation gives 0.77 states/eV/atom. The formation energy comes out at -0.0884 eV per atom. The size of the total moment comes out at 0.00 μB/f.u.

---

No. 4
This record from Alexandria describes a relaxed structure of TbNi2Pt2. The functional is PBE-GGA.

a b c (Å): 11.432 11.432 11.432
angles (deg): 160.27 160.27 28.05
Element x y z (fractional)
Tb (0.120, 0.120, 0.000)
Tb (0.880, 0.880, 0.000)
Ni (0.250, 0.750, 0.500)
Ni (0.428, 0.428, 0.000)
Ni (0.572, 0.572, 0.000)
Ni (0.750, 0.250, 0.500)
Pt (0.000, 0.500, 0.500)
Pt (0.321, 0.321, 0.000)
Pt (0.500, 0.000, 0.500)
Pt (0.679, 0.679, 0.000)

Summary:
The volume comes out at 17.02 Å³/atom. For the density of states at the Fermi level, the calculation gives 1.26 states/eV/atom. The formation energy comes out at -0.5018 eV per atom. The size of the total moment comes out at 1.25 μB/f.u.

---

No. 5
This record from Alexandria describes a relaxed structure of NaNdTlAg. The functional is PBE-GGA.

a b c (Å): 7.477 7.477 7.477
angles (deg): 90.00 90.00 90.00
Element x y z (fractional)
Na (0.000, 0.000, 0.000)
Na (0.000, 0.500, 0.500)
Na (0.500, 0.000, 0.500)
Na (0.500, 0.500, 0.000)
Nd (0.000, 0.000, 0.500)
Nd (0.000, 0.500, 0.000)
Nd (0.500, 0.000, 0.000)
Nd (0.500, 0.500, 0.500)
Tl (0.250, 0.250, 0.250)
Tl (0.250, 0.750, 0.750)
Tl (0.750, 0.250, 0.750)
Tl (0.750, 0.750, 0.250)
Ag (0.250, 0.250, 0.750)
Ag (0.250, 0.750, 0.250)
Ag (0.750, 0.250, 0.250)
Ag (0.750, 0.750, 0.750)

Summary:
The volume comes out at 26.13 Å³/atom. For the density of states at the Fermi level, the calculation gives 0.82 states/eV/atom. The formation energy comes out at -0.1813 eV per atom. The size of the total moment comes out at 0.00 μB/f.u.

---

No. 6
This record from Alexandria describes a relaxed structure of Tb5NdAl2. The functional is PBE-GGA.

a b c (Å): 3.609 10.286 12.473
angles (deg): 90.00 90.00 90.00
Element x y z (fractional)
Tb (0.000, 0.000, 0.000)
Tb (0.000, 0.277, 0.361)
Tb (0.000, 0.277, 0.639)
Tb (0.000, 0.723, 0.361)
Tb (0.000, 0.723, 0.639)
Tb (0.500, 0.223, 0.139)
Tb (0.500, 0.223, 0.861)
Tb (0.500, 0.500, 0.500)
Tb (0.500, 0.777, 0.139)
Tb (0.500, 0.777, 0.861)
Nd (0.000, 0.500, 0.000)
Nd (0.500, 0.000, 0.500)
Al (0.000, 0.000, 0.261)
Al (0.000, 0.000, 0.739)
Al (0.500, 0.500, 0.239)
Al (0.500, 0.500, 0.761)

Summary:
The volume comes out at 28.94 Å³/atom. For the density of states at the Fermi level, the calculation gives 1.51 states/eV/atom. The formation energy comes out at -0.0911 eV per atom. The size of the total moment comes out at 0.00 μB/f.u.